1.
Entry from Alexandria: an optimized crystal structure of Al2Co (PBE).

Calculated values
Energy of formation from the pure elements in kJ per mole of atoms: -29.7
DOS at the Fermi energy in states/eV per atom: 0.639
Magnetization in Bohr magnetons per cell: 0.00
Symmetry: Cm, No. 8

Cell: 4.904 4.904 6.208 Å, 98.95 98.95 33.16°
Atoms (fractional coordinates):
Al 0.000 0.000 0.000
Al 0.070 0.070 0.574
Al 0.355 0.355 0.302
Al 0.726 0.726 0.916
Co 0.360 0.360 0.695
Co 0.640 0.640 0.280

2.
Entry from Alexandria: an optimized crystal structure of Al5Co3 (PBE).

Calculated values
Energy of formation from the pure elements in kJ per mole of atoms: -38.1
DOS at the Fermi energy in states/eV per atom: 0.440
Excess energy over the best structure of this formula in the dataset in eV per atom: 0.0000
Magnetization in Bohr magnetons per cell: 0.12
Symmetry: C2/m, No. 12

Cell: 6.943 6.943 6.866 Å, 95.90 95.90 138.75°
Atoms (fractional coordinates):
Al 0.055 0.701 0.794
Al 0.224 0.432 0.644
Al 0.254 0.254 0.009
Al 0.299 0.945 0.206
Al 0.432 0.224 0.644
Al 0.568 0.776 0.356
Al 0.701 0.055 0.794
Al 0.746 0.746 0.991
Al 0.776 0.568 0.356
Al 0.945 0.299 0.206
Co 0.111 0.111 0.337
Co 0.246 0.754 0.500
Co 0.331 0.669 0.000
Co 0.669 0.331 0.000
Co 0.754 0.246 0.500
Co 0.889 0.889 0.663

3.
Entry from Alexandria: an optimized crystal structure of AlCo (PBE).

Calculated values
Energy of formation from the pure elements in kJ per mole of atoms: -5.7
DOS at the Fermi energy in states/eV per atom: 0.998
Magnetization in Bohr magnetons per cell: 2.33
Symmetry: P-3m1, No. 164

Cell: 2.711 2.711 8.075 Å, 90.00 90.00 120.00°
Atoms (fractional coordinates):
Al 0.333 0.667 0.146
Al 0.667 0.333 0.854
Co 0.333 0.667 0.617
Co 0.667 0.333 0.383